Compound: FePbBr2
Source: Alexandria
Functional: PBE-GGA
Structure: relaxed

Unit cell a=3.4739 b=3.4739 c=8.7061 alpha=90.00 beta=90.00 gamma=96.67
With the nearest neighbours (Å) after each atom.
Element x y z (fractional)
Br: 0.0000 0.0000 0.9574  4 Pb 3.09-3.31
Br: 0.5000 0.5000 0.3404  4 Fe 2.61-2.87
Fe: 0.0000 0.0000 0.4799  4 Br 2.61-2.87
Pb: 0.5000 0.5000 0.7223  5 Br 3.09-3.33, 4 Fe 3.13-3.35

Summary:
Uncorrected formation energy ... 35 meV per atom
D(E_F) ... 0.946 states/eV per atom
Size of the total moment ... 3.333 μB per cell
Distance to the lowest polymorph of the same formula ... 216 meV per atom


Compound: La2Y8Ho3
Source: Alexandria
Functional: PBE-GGA
Structure: relaxed

Unit cell a=5.5655 b=7.6482 c=11.2188 alpha=109.97 beta=90.00 gamma=90.00
With the nearest neighbours (Å) after each atom.
Element x y z (fractional)
La: 0.4999 0.2405 0.4805  8 Y 3.49-3.68, 2 La 3.84-3.85
La: 0.5001 0.7595 0.5195  8 Y 3.49-3.68, 2 La 3.84-3.85
Y: 0.0001 0.6606 0.3205  4 Y 3.43, 2 La 3.49, 2 Ho 3.75
Y: 0.9999 0.3394 0.6795  4 Y 3.43, 2 La 3.49, 2 Ho 3.75
Y: 0.0001 0.1262 0.2521  4 Ho 3.44-3.85, 4 Y 3.57-3.58, 2 La 3.68
Y: 0.9999 0.8738 0.7479  4 Ho 3.44-3.85, 4 Y 3.57-3.58, 2 La 3.68
Y: 0.4999 0.6083 0.7913  1 Ho 3.11, 3 Y 3.26-3.43
Y: 0.4999 0.1824 0.7912  1 Ho 3.11, 3 Y 3.26-3.43
Y: 0.5001 0.8176 0.2088  1 Ho 3.11, 3 Y 3.26-3.43
Y: 0.5001 0.3917 0.2087  1 Ho 3.11, 3 Y 3.26-3.43
Ho: 0.5000 0.0000 0.0000  4 Y 3.11
Ho: 0.0000 0.2864 0.0001  3 Ho 3.27-3.54, 6 Y 3.44-3.55
Ho: 0.0000 0.7136 0.9999  3 Ho 3.27-3.54, 6 Y 3.44-3.55

Summary:
D(E_F) ... 1.881 states/eV per atom
Uncorrected energy ... -5.548 eV per atom
Size of the total moment ... 0.000 μB per cell


Compound: KNaSb
Source: Alexandria
Functional: PBE-GGA
Structure: relaxed

Unit cell a=4.9824 b=6.8464 c=8.1952 alpha=114.69 beta=107.70 gamma=90.00
With the nearest neighbours (Å) after each atom.
Element x y z (fractional)
K: 0.7126 0.7126 0.4252  4 Sb 3.56-3.74
K: 0.2874 0.2874 0.5748  4 Sb 3.56-3.74
Na: 0.0000 0.7829 0.0000  1 Na 2.97, 4 Sb 3.26
Na: 0.0000 0.2171 0.0000  1 Na 2.97, 4 Sb 3.26
Sb: 0.6057 0.1057 0.2115  1 Sb 2.97, 4 Na 3.26
Sb: 0.3943 0.8943 0.7885  1 Sb 2.97, 4 Na 3.26

Summary:
Uncorrected formation energy ... -305 meV per atom
D(E_F) ... 0.304 states/eV per atom
Size of the total moment ... 0.000 μB per cell
Distance to the lowest polymorph of the same formula ... 34 meV per atom


Compound: NdDyPt3
Source: Alexandria
Functional: PBE-GGA
Structure: relaxed

Unit cell a=4.2756 b=3.8797 c=13.6614 alpha=98.16 beta=90.00 gamma=90.00
With the nearest neighbours (Å) after each atom.
Element x y z (fractional)
Nd: 0.2500 0.0741 0.1483  10 Pt 3.14-3.38
Nd: 0.7500 0.9259 0.8517  10 Pt 3.14-3.38
Dy: 0.2500 0.7932 0.5863  7 Pt 2.88-2.95
Dy: 0.7500 0.2068 0.4137  7 Pt 2.88-2.95
Pt: 0.2500 0.3754 0.7508  3 Pt 2.61-2.72
Pt: 0.7500 0.6246 0.2492  3 Pt 2.61-2.72
Pt: 0.2500 0.4718 0.9436  3 Pt 2.61-2.63
Pt: 0.7500 0.5282 0.0564  3 Pt 2.61-2.63
Pt: 0.7500 0.3132 0.6264  2 Pt 2.72, 5 Dy 2.88-2.94
Pt: 0.2500 0.6868 0.3736  2 Pt 2.72, 5 Dy 2.88-2.94

Summary:
D(E_F) ... 0.681 states/eV per atom
Uncorrected energy ... -6.601 eV per atom
Size of the total moment ... 0.000 μB per cell